! meta-GGA SCAN CrCo3Ag, single point on PBEsol structure; values from VASP
&SYSTEM
  ibrav = 0, nat = 5, ntyp = 3
/
ATOMIC_SPECIES
Ag 107.87 Ag.upf
Cr 52.00 Cr.upf
Co 58.93 Co.upf
ATOMIC_POSITIONS crystal
Ag 0.500 0.500 0.500
Cr 0.000 0.000 0.000
Co 0.000 0.000 0.500
Co 0.000 0.500 0.000
Co 0.500 0.000 0.000
CELL_PARAMETERS angstrom
-2.129 3.389 0.911
-0.312 -1.245 3.899
3.496 1.953 0.903
! symmetry: Pm-3m
! crystal system: cubic
! uncorrected energy: -19.050 eV/atom
! energy of formation from the pure elements: 1.2834 eV/atom
! total magnetization: 2.4 μB per formula unit



! meta-GGA SCAN CsCo3Ag, single point on PBEsol structure; values from VASP
&SYSTEM
  ibrav = 0, nat = 5, ntyp = 3
/
ATOMIC_SPECIES
Co 58.93 Co.upf
Cs 132.91 Cs.upf
Ag 107.87 Ag.upf
ATOMIC_POSITIONS crystal
Co 0.500 0.000 0.000
Co 0.000 0.000 0.500
Cs 0.000 0.000 0.000
Co 0.000 0.500 0.000
Ag 0.500 0.500 0.500
CELL_PARAMETERS angstrom
4.553 0.000 0.000
0.000 4.553 0.000
0.000 0.000 4.553
! symmetry: Pm-3m
! crystal system: cubic
! uncorrected energy: -21.653 eV/atom
! energy of formation from the pure elements: 2.5649 eV/atom
! total magnetization: 3.0 μB per formula unit



! meta-GGA SCAN CoCuAg2, single point on PBEsol structure; values from VASP
&SYSTEM
  ibrav = 0, nat = 4, ntyp = 3
/
ATOMIC_SPECIES
Ag 107.87 Ag.upf
Cu 63.55 Cu.upf
Co 58.93 Co.upf
ATOMIC_POSITIONS crystal
Ag 0.000 0.000 0.751
Cu 0.500 0.500 0.500
Co 0.500 0.500 0.000
Ag 0.000 0.000 0.249
CELL_PARAMETERS angstrom
-2.004 -1.699 -0.534
2.066 -1.584 -2.715
2.050 -3.562 3.637
! excess energy over the best structure of this formula in the dataset: 0.052 eV per atom
! symmetry: Pmmm
! crystal system: orthorhombic
! uncorrected energy: -23.468 eV/atom
! energy of formation from the pure elements: 0.3411 eV/atom
! total magnetization: 1.9 μB per formula unit



! meta-GGA SCAN CoCu2Ag, single point on PBEsol structure; values from VASP
&SYSTEM
  ibrav = 0, nat = 4, ntyp = 3
/
ATOMIC_SPECIES
Co 58.93 Co.upf
Ag 107.87 Ag.upf
Cu 63.55 Cu.upf
ATOMIC_POSITIONS crystal
Co 0.000 0.500 0.500
Ag 0.500 0.500 0.000
Cu 0.500 0.000 0.500
Cu 0.000 0.000 0.000
CELL_PARAMETERS angstrom
-1.548 -0.078 -2.182
-3.010 -2.178 2.213
-1.857 3.766 1.182
! excess energy over the best structure of this formula in the dataset: 0.098 eV per atom
! symmetry: Pmmm
! crystal system: orthorhombic
! uncorrected energy: -19.446 eV/atom
! energy of formation from the pure elements: 0.3211 eV/atom
! total magnetization: 1.9 μB per formula unit



! meta-GGA SCAN CoCu2Ag, single point on PBEsol structure; values from VASP
&SYSTEM
  ibrav = 0, nat = 4, ntyp = 3
/
ATOMIC_SPECIES
Cu 63.55 Cu.upf
Ag 107.87 Ag.upf
Co 58.93 Co.upf
ATOMIC_POSITIONS crystal
Cu 0.001 0.002 0.005
Ag 0.499 0.999 0.501
Cu 0.255 0.510 0.762
Co 0.745 0.489 0.232
CELL_PARAMETERS angstrom
-2.104 1.449 0.383
0.299 -2.796 3.509
2.618 3.398 1.522
! excess energy over the best structure of this formula in the dataset: 0.000 eV per atom
! symmetry: Cm
! crystal system: monoclinic
! uncorrected energy: -19.544 eV/atom
! energy of formation from the pure elements: 0.2234 eV/atom
! total magnetization: 1.8 μB per formula unit



! meta-GGA SCAN CoCu2Ag, single point on PBEsol structure; values from VASP
&SYSTEM
  ibrav = 0, nat = 4, ntyp = 3
/
ATOMIC_SPECIES
Cu 63.55 Cu.upf
Co 58.93 Co.upf
Ag 107.87 Ag.upf
ATOMIC_POSITIONS crystal
Cu 0.000 0.000 0.001
Co 0.255 0.255 0.234
Cu 0.745 0.745 0.766
Ag 0.500 0.500 0.500
CELL_PARAMETERS angstrom
2.616 0.000 0.000
1.308 2.266 0.000
1.308 0.755 8.472
! excess energy over the best structure of this formula in the dataset: 0.008 eV per atom
! symmetry: R3m
! crystal system: trigonal
! uncorrected energy: -19.536 eV/atom
! energy of formation from the pure elements: 0.2313 eV/atom
! total magnetization: 1.9 μB per formula unit



! meta-GGA SCAN CoCuAg2, single point on PBEsol structure; values from VASP
&SYSTEM
  ibrav = 0, nat = 4, ntyp = 3
/
ATOMIC_SPECIES
Ag 107.87 Ag.upf
Cu 63.55 Cu.upf
Co 58.93 Co.upf
ATOMIC_POSITIONS crystal
Ag 0.750 0.750 0.750
Cu 0.250 0.250 0.250
Ag 0.000 0.000 0.000
Co 0.500 0.500 0.500
CELL_PARAMETERS angstrom
-3.344 -0.814 2.569
0.308 -3.026 3.032
0.152 1.120 4.143
! excess energy over the best structure of this formula in the dataset: 0.000 eV per atom
! symmetry: F-43m
! crystal system: cubic
! uncorrected energy: -23.521 eV/atom
! energy of formation from the pure elements: 0.2887 eV/atom
! total magnetization: 1.9 μB per formula unit



! meta-GGA SCAN CoCuAg, single point on PBEsol structure; values from VASP
&SYSTEM
  ibrav = 0, nat = 3, ntyp = 3
/
ATOMIC_SPECIES
Co 58.93 Co.upf
Ag 107.87 Ag.upf
Cu 63.55 Cu.upf
ATOMIC_POSITIONS crystal
Co 0.607 0.333 0.667
Ag 0.010 0.000 0.000
Cu 0.383 0.667 0.333
CELL_PARAMETERS angstrom
2.573 0.000 0.000
0.000 4.179 0.000
0.000 -2.090 3.619
! symmetry: P3m1
! crystal system: trigonal
! uncorrected energy: -21.018 eV/atom
! energy of formation from the pure elements: 0.2718 eV/atom
! total magnetization: 1.9 μB per formula unit



! meta-GGA SCAN Co2CuAgRh, single point on PBEsol structure; values from VASP
&SYSTEM
  ibrav = 0, nat = 5, ntyp = 4
/
ATOMIC_SPECIES
Cu 63.55 Cu.upf
Rh 102.91 Rh.upf
Co 58.93 Co.upf
Ag 107.87 Ag.upf
ATOMIC_POSITIONS crystal
Cu 0.000 0.000 0.000
Rh 0.000 0.000 0.500
Co 0.000 0.500 0.000
Co 0.500 0.000 0.000
Ag 0.500 0.500 0.500
CELL_PARAMETERS angstrom
-1.652 -2.032 -3.316
3.024 -2.936 0.293
-2.583 -2.386 2.749
! symmetry: P4/mmm
! crystal system: tetragonal
! uncorrected energy: -21.828 eV/atom
! energy of formation from the pure elements: 1.1609 eV/atom
! total magnetization: 4.7 μB per formula unit



! meta-GGA SCAN FeCoAg3, single point on PBEsol structure; values from VASP
&SYSTEM
  ibrav = 0, nat = 5, ntyp = 3
/
ATOMIC_SPECIES
Ag 107.87 Ag.upf
Co 58.93 Co.upf
Fe 55.84 Fe.upf
ATOMIC_POSITIONS crystal
Ag 0.500 0.000 0.000
Ag 0.000 0.500 0.000
Co 0.000 0.000 0.000
Ag 0.000 0.000 0.500
Fe 0.500 0.500 0.500
CELL_PARAMETERS angstrom
-2.809 -2.668 2.506
-0.417 -2.906 -3.561
3.637 -2.394 1.528
! symmetry: Pm-3m
! crystal system: cubic
! uncorrected energy: -24.638 eV/atom
! energy of formation from the pure elements: 1.2685 eV/atom
! total magnetization: 5.4 μB per formula unit



! meta-GGA SCAN Fe2CoTcAg, single point on PBEsol structure; values from VASP
&SYSTEM
  ibrav = 0, nat = 5, ntyp = 4
/
ATOMIC_SPECIES
Fe 55.84 Fe.upf
Tc 98.00 Tc.upf
Ag 107.87 Ag.upf
Co 58.93 Co.upf
ATOMIC_POSITIONS crystal
Fe 0.000 0.500 0.000
Fe 0.500 0.000 0.000
Tc 0.500 0.500 0.500
Ag 0.000 0.000 0.500
Co 0.000 0.000 0.000
CELL_PARAMETERS angstrom
4.178 0.000 0.000
0.000 4.178 0.000
0.000 0.000 4.547
! symmetry: P4/mmm
! crystal system: tetragonal
! uncorrected energy: -22.697 eV/atom
! energy of formation from the pure elements: 1.3013 eV/atom
! total magnetization: 10.8 μB per formula unit



! meta-GGA SCAN GaCo3Ag, single point on PBEsol structure; values from VASP
&SYSTEM
  ibrav = 0, nat = 5, ntyp = 3
/
ATOMIC_SPECIES
Co 58.93 Co.upf
Ag 107.87 Ag.upf
Ga 69.72 Ga.upf
ATOMIC_POSITIONS crystal
Co 0.000 0.000 0.500
Ag 0.500 0.500 0.500
Co 0.000 0.500 0.000
Ga 0.000 0.000 0.000
Co 0.500 0.000 0.000
CELL_PARAMETERS angstrom
4.265 0.000 0.000
0.000 4.265 0.000
0.000 0.000 4.265
! symmetry: Pm-3m
! crystal system: cubic
! uncorrected energy: -18.929 eV/atom
! energy of formation from the pure elements: 0.9963 eV/atom
! total magnetization: 4.9 μB per formula unit



! meta-GGA SCAN GaCo2AgMo, single point on PBEsol structure; values from VASP
&SYSTEM
  ibrav = 0, nat = 5, ntyp = 4
/
ATOMIC_SPECIES
Co 58.93 Co.upf
Ag 107.87 Ag.upf
Ga 69.72 Ga.upf
Mo 95.94 Mo.upf
ATOMIC_POSITIONS crystal
Co 0.500 0.000 0.000
Co 0.000 0.500 0.000
Ag 0.500 0.500 0.500
Ga 0.000 0.000 0.500
Mo 0.000 0.000 0.000
CELL_PARAMETERS angstrom
4.312 0.000 0.000
0.000 4.312 0.000
0.000 0.000 4.822
! symmetry: P4/mmm
! crystal system: tetragonal
! uncorrected energy: -22.134 eV/atom
! energy of formation from the pure elements: 1.3073 eV/atom
! total magnetization: 2.7 μB per formula unit



! meta-GGA SCAN CoAgH2, single point on PBEsol structure; values from VASP
&SYSTEM
  ibrav = 0, nat = 8, ntyp = 3
/
ATOMIC_SPECIES
Ag 107.87 Ag.upf
H 1.01 H.upf
Co 58.93 Co.upf
ATOMIC_POSITIONS crystal
Ag 0.250 0.750 0.500
H 0.625 0.543 0.750
Co 0.750 0.250 0.500
H 0.793 0.375 0.250
Ag 0.000 0.000 0.000
H 0.457 0.875 0.250
Co 0.500 0.500 0.000
H 0.125 0.207 0.750
CELL_PARAMETERS angstrom
-0.724 3.283 2.303
1.330 -2.012 3.285
3.430 0.682 -3.498
! symmetry: I-42d
! crystal system: tetragonal
! uncorrected energy: -13.579 eV/atom
! total magnetization: 1.3 μB per formula unit